LiCa: relaxed, PBE.

Lattice parameters (Å, degrees): 6.5102 6.5102 6.5102 136.85 136.85 62.67
Closest atoms and distances in Å follow each position.
Atoms (fractional coordinates):
Ca 0.0000 0.0000 0.0000  8 Li 3.39-3.67, 4 Ca 3.67
Ca 0.2500 0.7500 0.5000  8 Li 3.39-3.67, 4 Ca 3.67
Li 0.5000 0.5000 0.0000  8 Ca 3.39-3.67, 4 Li 3.67
Li 0.7500 0.2500 0.5000  8 Ca 3.39-3.67, 4 Li 3.67

## Properties
* relative energy among the computed polymorphs: 58 meV/atom
* formation energy from the elements: 70 meV/atom